No. 1
## PuSeF (PBE)

Data for an optimized crystal structure of PuSeF. Values from VASP.

```
&SYSTEM
  ibrav = 0, nat = 3, ntyp = 3
/
ATOMIC_SPECIES
F 19.00 F.upf
Se 78.96 Se.upf
Pu 244.00 Pu.upf
ATOMIC_POSITIONS crystal
F 0.166 0.000 0.000
Se 0.667 0.333 0.667
Pu 0.167 0.667 0.333
CELL_PARAMETERS angstrom
-1.828 -0.437 3.579
-0.571 -3.995 -0.780
3.422 1.254 1.900
```

Calculated values
- Volume: 19.715 Å³ per atom
- SG: P-6m2 (187)
- Raw total energy: -8.97 eV/atom
- Calculated density: 9.60 Mg/m³



No. 2
## Pu2SeF (PBE)

Data for an optimized crystal structure of Pu2SeF. Values from VASP.

```
&SYSTEM
  ibrav = 0, nat = 4, ntyp = 3
/
ATOMIC_SPECIES
F 19.00 F.upf
Se 78.96 Se.upf
Pu 244.00 Pu.upf
ATOMIC_POSITIONS crystal
F 0.500 0.500 0.500
Se 0.000 0.000 0.000
Pu 0.250 0.250 0.250
Pu 0.750 0.750 0.750
CELL_PARAMETERS angstrom
-2.749 -4.015 0.767
1.993 -3.984 2.101
-1.282 -1.269 4.584
```

Calculated values
- Volume: 21.124 Å³ per atom
- Energy above the most stable polymorph in this dataset: 0.700 eV per formula unit
- SG: Fm-3m (225)
- Calculated density: 11.52 Mg/m³



No. 3
## PuSeF (PBE)

Data for an optimized crystal structure of PuSeF. Values from VASP.

```
&SYSTEM
  ibrav = 0, nat = 3, ntyp = 3
/
ATOMIC_SPECIES
Pu 244.00 Pu.upf
Se 78.96 Se.upf
F 19.00 F.upf
ATOMIC_POSITIONS crystal
Pu 0.691 0.691 0.381
Se 0.013 0.013 0.026
F 0.297 0.297 0.593
CELL_PARAMETERS angstrom
-2.909 -1.650 -0.922
0.574 -2.384 2.455
-1.326 4.655 2.380
```

Calculated values
- Volume: 19.277 Å³ per atom
- SG: I4mm (107)
- Raw total energy: -8.58 eV/atom
- Calculated density: 9.82 Mg/m³



No. 4
## Pu2SeF (PBE)

Data for an optimized crystal structure of Pu2SeF. Values from VASP.

```
&SYSTEM
  ibrav = 0, nat = 4, ntyp = 3
/
ATOMIC_SPECIES
F 19.00 F.upf
Se 78.96 Se.upf
Pu 244.00 Pu.upf
ATOMIC_POSITIONS crystal
F 0.500 0.500 0.500
Se 0.000 0.000 0.000
Pu 0.760 0.760 0.721
Pu 0.240 0.240 0.279
CELL_PARAMETERS angstrom
-1.817 3.518 -0.223
-2.439 0.783 -3.027
-6.326 -0.889 2.270
```

Calculated values
- Volume: 21.725 Å³ per atom
- Energy above the most stable polymorph in this dataset: 0.000 eV per formula unit
- SG: R-3m (166)
- Calculated density: 11.20 Mg/m³



No. 5
## Pu2SeF (PBE)

Data for an optimized crystal structure of Pu2SeF. Values from VASP.

```
&SYSTEM
  ibrav = 0, nat = 4, ntyp = 3
/
ATOMIC_SPECIES
F 19.00 F.upf
Se 78.96 Se.upf
Pu 244.00 Pu.upf
ATOMIC_POSITIONS crystal
F 0.500 0.000 0.000
Se 0.500 0.500 0.500
Pu 0.000 0.000 0.500
Pu 0.000 0.500 0.000
CELL_PARAMETERS angstrom
-0.886 0.000 -3.580
3.347 -3.309 -0.829
-3.212 -3.448 0.795
```

Calculated values
- Volume: 21.057 Å³ per atom
- Energy above the most stable polymorph in this dataset: 0.686 eV per formula unit
- SG: P4/mmm (123)
- Calculated density: 11.55 Mg/m³



No. 6
## Pu5Se5F2 (PBE)

Data for an optimized crystal structure of Pu5Se5F2. Values from VASP.

```
&SYSTEM
  ibrav = 0, nat = 12, ntyp = 3
/
ATOMIC_SPECIES
Pu 244.00 Pu.upf
Se 78.96 Se.upf
F 19.00 F.upf
ATOMIC_POSITIONS crystal
Pu 0.108 0.216 0.403
Pu 0.679 0.359 0.803
Pu 0.321 0.641 0.197
Pu 0.892 0.784 0.597
Pu 0.000 0.000 0.000
Se 0.500 0.000 0.500
Se 0.660 0.320 0.056
Se 0.746 0.492 0.353
Se 0.254 0.508 0.647
Se 0.340 0.680 0.944
F 0.040 0.080 0.794
F 0.960 0.920 0.206
CELL_PARAMETERS angstrom
4.058 0.000 0.000
-2.029 6.590 -0.075
0.000 -3.263 10.931
```

Calculated values
- Volume: 24.275 Å³ per atom
- SG: C2/m (12)
- Raw total energy: -9.56 eV/atom
- Calculated density: 9.42 Mg/m³



No. 7
## PuSeF (PBE)

Data for an optimized crystal structure of PuSeF. Values from VASP.

```
&SYSTEM
  ibrav = 0, nat = 3, ntyp = 3
/
ATOMIC_SPECIES
F 19.00 F.upf
Se 78.96 Se.upf
Pu 244.00 Pu.upf
ATOMIC_POSITIONS crystal
F 0.500 0.500 0.500
Se 0.000 0.000 0.000
Pu 0.250 0.250 0.250
CELL_PARAMETERS angstrom
-3.493 -2.962 -0.484
0.640 -4.477 0.868
-1.921 -1.922 3.718
```

Calculated values
- Volume: 23.020 Å³ per atom
- SG: F-43m (216)
- Raw total energy: -8.71 eV/atom
- Calculated density: 8.22 Mg/m³



No. 8
## PuSeF (PBE)

Data for an optimized crystal structure of PuSeF. Values from VASP.

```
&SYSTEM
  ibrav = 0, nat = 6, ntyp = 3
/
ATOMIC_SPECIES
F 19.00 F.upf
Pu 244.00 Pu.upf
Se 78.96 Se.upf
ATOMIC_POSITIONS crystal
F 0.750 0.617 0.100
F 0.250 0.383 0.900
Pu 0.250 0.664 0.292
Pu 0.750 0.336 0.708
Se 0.750 0.804 0.633
Se 0.250 0.196 0.367
CELL_PARAMETERS angstrom
4.096 0.035 0.627
-0.068 5.657 0.133
-0.904 -2.516 6.042
```

Calculated values
- Volume: 24.116 Å³ per atom
- SG: P2_1/m (11)
- Raw total energy: -8.98 eV/atom
- Calculated density: 7.85 Mg/m³